Record 1
Below is crystalline ZrIrBr2 at its relaxed geometry, with properties calculated at the GGA-PBE level.

Cell: 6.7261 6.7261 6.7261 Å, 90.00 90.00 90.00°
Closest atoms and distances in Å follow each position.
Space group Fm-3m (No. 225)
One atom of each set of equivalent atoms:
Zr: 0.0000 0.0000 0.0000 (multiplicity 4)  8 Br 2.91
Ir: 0.0000 0.0000 0.5000 (multiplicity 4)  8 Br 2.91
Br: 0.2500 0.2500 0.2500 (multiplicity 8)  4 Zr 2.91, 4 Ir 2.91

Magnetization in μB per cell: 0.00
E_form (uncorrected) in meV per atom: 329
Fermi-level density of states in states/eV per cell: 11.693

***

Record 2
Below is crystalline BeAl2Ag2 at its relaxed geometry, with properties calculated at the GGA-PBE level.

Cell: 6.3933 6.3933 4.0471 Å, 90.00 90.00 90.00°
Closest atoms and distances in Å follow each position.
Space group P4/mbm (No. 127)
One atom of each set of equivalent atoms:
Be: 0.0000 0.0000 0.0000 (multiplicity 2)  4 Ag 2.41
Al: 0.1560 0.3440 0.5000 (multiplicity 4)  6 Ag 2.63-2.85, 1 Al 2.82
Ag: 0.1584 0.6584 0.0000 (multiplicity 4)  2 Be 2.41, 2 Al 2.63

Magnetization in μB per cell: 0.00
Formation enthalpy at 0 K in eV/atom: 0.2683
Fermi-level density of states in states/eV per cell: 4.252

***

Record 3
Below is crystalline Ca4Ac15Pr at its relaxed geometry, with properties calculated at the GGA-PBE level.

Cell: 5.5874 5.5874 28.0257 Å, 90.00 90.00 90.00°
Closest atoms and distances in Å follow each position.
Space group P4/mmm (No. 123)
One atom of each set of equivalent atoms:
Ca: 0.0000 0.0000 0.1002 (multiplicity 2)  12 Ac 3.95-3.97
Ca: 0.0000 0.0000 0.3009 (multiplicity 2)  12 Ac 3.95-3.99
Ac: 0.0000 0.5000 0.0000 (multiplicity 2)  8 Ac 3.95-3.96, 4 Ca 3.96
Ac: 0.0000 0.5000 0.2007 (multiplicity 4)  8 Ac 3.95-3.97, 4 Ca 3.96-3.97
Ac: 0.0000 0.5000 0.4024 (multiplicity 4)  8 Ac 3.91-3.99, 2 Pr 3.91, 2 Ca 3.99
Ac: 0.5000 0.5000 0.1002 (multiplicity 2)  4 Ca 3.95, 8 Ac 3.96-3.97
Ac: 0.5000 0.5000 0.3007 (multiplicity 2)  4 Ca 3.95, 8 Ac 3.96-3.99
Ac: 0.5000 0.5000 0.5000 (multiplicity 1)  8 Ac 3.91, 4 Pr 3.95
Pr: 0.0000 0.0000 0.5000 (multiplicity 1)  12 Ac 3.91-3.95

Magnetization in μB per cell: 0.00
Formation enthalpy at 0 K in eV/atom: 0.0214
Fermi-level density of states in states/eV per cell: 30.265

***

Record 4
Below is crystalline PbAu2 at its relaxed geometry, with properties calculated at the GGA-PBE level.

Cell: 5.5520 5.5520 9.2811 Å, 90.00 90.00 90.00°
Closest atoms and distances in Å follow each position.
Space group I4/mcm (No. 140)
One atom of each set of equivalent atoms:
Pb: 0.0000 0.0000 0.2500 (multiplicity 4)  8 Au 3.10
Au: 0.1753 0.3247 0.0000 (multiplicity 8)  5 Au 2.75-2.90

Magnetization in μB per cell: 0.00
Formation enthalpy at 0 K in eV/atom: -0.0174
Fermi-level density of states in states/eV per cell: 4.569